A plane-wave DFT calculation with PBE was carried out for a geometry-optimized RbSbTe2Pd structure.

Its density of states at the Fermi level is 10.26 states/eV per cell. As for the offset from the most stable computed form: 158.5 kJ/mol of atoms. As for the uncorrected energy: -9.28 eV per cell. The value obtained for the uncorrected formation energy is 1.46 eV per atom.

Structure (POSCAR):
```
RbSbTe2Pd
1.0
-0.773 1.295 -6.004
-2.794 -5.463 -0.819
-5.315 2.533 1.230
Sb Te Rb Pd
1 2 1 1
Direct
0.000 0.000 0.500
0.000 0.500 0.000
0.500 0.000 0.000
0.000 0.000 0.000
0.500 0.500 0.500
```